1.
MnCr4Rh15: optimized geometry, PBE-GGA.

It has space group P4/mmm (No. 123), with a = 3.806 Å, b = 3.806 Å, c = 19.006 Å, α = 90.00°, β = 90.00° and γ = 90.00°. Symmetry generates all atoms from Mn at (0.000, 0.000, 0.000), Cr at (0.000, 0.000, 0.200), Cr at (0.000, 0.000, 0.401), Rh at (0.000, 0.500, 0.103), Rh at (0.000, 0.500, 0.300), Rh at (0.000, 0.500, 0.500), Rh at (0.500, 0.500, 0.000), Rh at (0.500, 0.500, 0.201) and Rh at (0.500, 0.500, 0.400).

Its crystal system is tetragonal. The magnetic moment comes out at 0.08 μB per atom. For the total energy, the calculation gives -160.46 eV for the cell shown. The value obtained for the volume is 13.77 Å³ per atom. Its energy of formation is -0.1262 eV per atom.

---

2.
ZnTcCl2: optimized geometry, PBE-GGA.

It has space group P4/mmm (No. 123), with a = 4.905 Å, b = 4.905 Å, c = 3.339 Å, α = 90.00°, β = 90.00° and γ = 90.00°. Symmetry generates all atoms from Zn at (0.000, 0.000, 0.000), Tc at (0.500, 0.500, 0.000) and Cl at (0.000, 0.500, 0.500).

The uncorrected formation energy comes out at 544 meV/atom. Its crystal system is tetragonal. The magnetic moment comes out at 1.07 μB per atom. For the total energy, the calculation gives -13.16 eV for the cell shown. The calculation puts the offset from the most stable computed form at 792.9 meV/atom. The value obtained for the volume is 20.08 Å³ per atom.

---

3.
ZnIn2Br: optimized geometry, PBE-GGA.

It has space group I-4m2 (No. 119), with a = 4.494 Å, b = 4.494 Å, c = 10.998 Å, α = 90.00°, β = 90.00° and γ = 90.00°. Symmetry generates all atoms from Zn at (0.000, 0.000, 0.000), In at (0.000, 0.000, 0.500), In at (0.000, 0.500, 0.250) and Br at (0.000, 0.500, 0.750).

The uncorrected formation energy comes out at -74 meV/atom. Its crystal system is tetragonal. The magnetic moment comes out at 0.00 μB per atom. For the total energy, the calculation gives -17.44 eV for the cell shown. The calculation puts the offset from the most stable computed form at 70.3 meV/atom. The value obtained for the volume is 27.76 Å³ per atom.